1.
Computed, not measured: a relaxed K3YC crystal at the PBE-GGA level of DFT.

POSCAR file:
```
K3YC
1.0
7.567 0.000 0.000
0.000 7.567 0.000
0.000 0.000 7.567
K Y C
3 1 1
Direct
0.000 0.000 0.500
0.000 0.500 0.000
0.500 0.000 0.000
0.000 0.000 0.000
0.500 0.500 0.500
```

Summary:
The total magnetic moment comes out at 0.02 μB/f.u. As for the calculated formation energy: 2.0584 eV per atom. As for the volume: 86.7 A^3/atom. The total energy is -1.74 eV/atom.

2.
Computed, not measured: a relaxed KYC3 crystal at the PBE-GGA level of DFT.

POSCAR file:
```
KYC3
1.0
4.326 0.000 0.000
0.000 4.326 0.000
0.000 0.000 4.326
K Y C
1 1 3
Direct
0.000 0.000 0.000
0.500 0.500 0.500
0.000 0.000 0.500
0.000 0.500 0.000
0.500 0.000 0.000
```

Summary:
The total magnetic moment comes out at 0.00 μB/f.u. As for the calculated formation energy: 3.1522 eV per atom. As for the volume: 16.2 A^3/atom. The total energy is -3.89 eV/atom.

3.
Computed, not measured: a relaxed KYC3 crystal at the PBE-GGA level of DFT.

POSCAR file:
```
KYC3
1.0
4.701 0.000 0.000
0.000 4.701 0.000
0.000 0.000 4.701
K Y C
1 1 3
Direct
0.000 0.000 0.000
0.500 0.500 0.500
0.000 0.500 0.500
0.500 0.000 0.500
0.500 0.500 0.000
```

Summary:
The total magnetic moment comes out at 0.00 μB/f.u. As for the calculated formation energy: 2.2472 eV per atom. As for the volume: 20.8 A^3/atom. The total energy is -4.80 eV/atom.

4.
Computed, not measured: a relaxed KZn3C crystal at the PBE-GGA level of DFT.

POSCAR file:
```
KZn3C
1.0
6.578 0.000 0.000
0.000 6.578 0.000
0.000 0.000 6.578
K Zn C
1 3 1
Direct
0.000 0.000 0.000
0.000 0.000 0.500
0.000 0.500 0.000
0.500 0.000 0.000
0.500 0.500 0.500
```

Summary:
The total magnetic moment comes out at 2.85 μB/f.u. As for the calculated formation energy: 1.9710 eV per atom. As for the volume: 56.9 A^3/atom. The total energy is -0.86 eV/atom.

5.
Computed, not measured: a relaxed KZn3C crystal at the PBE-GGA level of DFT.

POSCAR file:
```
KZn3C
1.0
4.571 0.000 0.000
0.000 4.571 0.000
0.000 0.000 4.571
K Zn C
1 3 1
Direct
0.000 0.000 0.000
0.000 0.500 0.500
0.500 0.000 0.500
0.500 0.500 0.000
0.500 0.500 0.500
```

Summary:
The total magnetic moment comes out at 0.00 μB/f.u. As for the calculated formation energy: 0.8493 eV per atom. As for the volume: 19.1 A^3/atom. The total energy is -1.98 eV/atom.

6.
Computed, not measured: a relaxed KZn2C crystal at the PBE-GGA level of DFT.

POSCAR file:
```
KZn2C
1.0
6.422 0.000 0.000
0.000 6.422 0.000
0.000 0.000 9.104
K Zn C
4 8 4
Direct
0.000 0.250 0.375
0.000 0.750 0.625
0.500 0.250 0.125
0.500 0.750 0.875
0.000 0.000 0.000
0.000 0.500 0.000
0.250 0.250 0.750
0.250 0.750 0.250
0.500 0.000 0.500
0.500 0.500 0.500
0.750 0.250 0.750
0.750 0.750 0.250
0.000 0.250 0.875
0.000 0.750 0.125
0.500 0.250 0.625
0.500 0.750 0.375
```

Summary:
The total magnetic moment comes out at 0.80 μB/f.u. As for the calculated formation energy: 0.5156 eV per atom. As for the volume: 23.5 A^3/atom. The total energy is -2.70 eV/atom.

What is the formula in the first record? K3YC